Density functional theory data (PBE) for a geometry-optimized TaHgPb2 structure.

Cell: 3.0805 3.0805 11.4785 Å, 90.00 90.00 90.00°
Last column: nearest neighbours and their distance in Å.
Positions (direct):
Hg1 0.5000 0.5000 0.7500  4 Hg 3.08
Pb1 0.0000 0.0000 0.0411  4 Pb 3.08, 4 Ta 3.24
Pb2 0.0000 0.0000 0.4589  4 Pb 3.08, 4 Ta 3.24
Ta1 0.5000 0.5000 0.2500  4 Ta 3.08, 8 Pb 3.24

Density functional theory data (PBE) for a geometry-optimized TaHgPb2 structure.

Cell: 5.9511 5.9511 5.6051 Å, 75.42 75.42 30.49°
Last column: nearest neighbours and their distance in Å.
Positions (direct):
Pb1 0.9786 0.9786 0.0560  3 Hg 3.13-3.27, 2 Pb 3.13, 4 Ta 3.18-3.32
Pb2 0.7761 0.7761 0.6836  2 Pb 3.13, 3 Ta 3.17-3.18, 4 Hg 3.26-3.28
Hg1 0.2199 0.2199 0.2156  2 Ta 2.95, 7 Pb 3.13-3.28, 2 Hg 3.13
Ta1 0.5254 0.5254 0.5449  2 Hg 2.95, 2 Ta 3.13, 5 Pb 3.17-3.18

Density functional theory data (PBE) for a geometry-optimized TaHgPb2 structure.

Cell: 11.5572 11.5572 11.5572 Å, 16.01 16.01 16.01°
Last column: nearest neighbours and their distance in Å.
Positions (direct):
Ta1 0.4935 0.4935 0.4935  3 Hg 2.97, 3 Pb 3.20, 6 Ta 3.22
Hg1 0.7592 0.7592 0.7592  3 Ta 2.97, 6 Hg 3.22
Pb1 0.0111 0.0111 0.0111  6 Pb 3.22, 3 Hg 3.35
Pb2 0.2362 0.2362 0.2362  3 Ta 3.20, 6 Pb 3.22

Density functional theory data (PBE) for a geometry-optimized TaHgPb2 structure.

Cell: 3.1050 3.1050 11.4723 Å, 90.00 90.00 102.43°
Last column: nearest neighbours and their distance in Å.
Positions (direct):
Pb1 0.0000 0.0000 0.0399  4 Ta 3.10-3.42, 4 Pb 3.11
Pb2 0.0000 0.0000 0.4601  4 Ta 3.10-3.42, 4 Pb 3.11
Hg1 0.5000 0.5000 0.7500  4 Hg 3.11
Ta1 0.5000 0.5000 0.2500  8 Pb 3.10-3.42, 4 Ta 3.11

Density functional theory data (PBE) for a geometry-optimized TaHgPb2 structure.

Cell: 5.7600 5.7600 5.7600 Å, 138.52 129.42 67.41°
Last column: nearest neighbours and their distance in Å.
Positions (direct):
Pb1 0.5102 0.5102 0.0000  2 Ta 3.07, 4 Pb 3.20, 4 Hg 3.22-3.37
Pb2 0.9898 0.9898 0.0000  2 Ta 3.07, 4 Pb 3.20, 4 Hg 3.22-3.37
Hg1 0.2500 0.7500 0.5000  4 Ta 3.20, 8 Pb 3.22-3.37
Ta1 0.7500 0.2500 0.5000  4 Pb 3.07, 4 Hg 3.20

Density functional theory data (PBE) for a geometry-optimized TaHgPb2 structure.

Cell: 4.9666 3.2020 6.7743 Å, 66.17 90.00 90.00°
Last column: nearest neighbours and their distance in Å.
Positions (direct):
Ta1 0.5000 0.2500 0.2500  2 Hg 3.11, 4 Pb 3.14, 2 Ta 3.20
Pb1 0.0000 0.4232 0.4893  4 Pb 3.07-3.25, 2 Ta 3.14, 2 Hg 3.29
Pb2 0.0000 0.0768 0.0107  4 Pb 3.07-3.25, 2 Ta 3.14, 2 Hg 3.29
Hg1 0.5000 0.7500 0.7500  2 Ta 3.11, 2 Hg 3.20, 8 Pb 3.29-3.45

Density functional theory data (PBE) for a geometry-optimized TaHgPb2 structure.

Cell: 5.2275 5.2275 5.2275 Å, 60.00 60.00 60.00°
Last column: nearest neighbours and their distance in Å.
Positions (direct):
Pb1 0.0000 0.0000 0.0000  4 Ta 3.20, 4 Pb 3.20
Pb2 0.2500 0.2500 0.2500  4 Pb 3.20, 4 Hg 3.20
Ta1 0.7500 0.7500 0.7500  4 Pb 3.20, 4 Hg 3.20
Hg1 0.5000 0.5000 0.5000  4 Pb 3.20, 4 Ta 3.20

Density functional theory data (PBE) for a geometry-optimized TaHgPb2 structure.

Cell: 3.8376 3.8799 6.4440 Å, 90.00 90.00 90.00°
Last column: nearest neighbours and their distance in Å.
Positions (direct):
Pb1 0.0000 0.0000 0.0137  2 Pb 3.05-3.40, 4 Ta 3.12, 4 Hg 3.21
Pb2 0.0000 0.0000 0.4863  2 Pb 3.05-3.40, 4 Ta 3.12, 4 Hg 3.21
Ta1 0.5000 0.5000 0.2500  8 Pb 3.12, 2 Hg 3.22
Hg1 0.5000 0.5000 0.7500  8 Pb 3.21, 2 Ta 3.22

Density functional theory data (PBE) for a geometry-optimized TaHgPb2 structure.

Cell: 3.8840 3.8840 6.3726 Å, 90.00 90.00 90.00°
Last column: nearest neighbours and their distance in Å.
Positions (direct):
Pb1 0.0000 0.0000 0.9775  4 Hg 3.11, 2 Ta 3.12-3.25, 4 Pb 3.38
Pb2 0.5000 0.5000 0.2873  1 Hg 2.93, 4 Ta 3.03
Hg1 0.5000 0.5000 0.7472  5 Pb 2.93-3.11, 4 Ta 3.20
Ta1 0.0000 0.0000 0.4880  6 Pb 3.03-3.25, 4 Hg 3.20

Density functional theory data (PBE) for a geometry-optimized TaHgPb2 structure.

Cell: 3.1028 3.1028 10.6369 Å, 90.00 90.00 90.00°
Last column: nearest neighbours and their distance in Å.
Positions (direct):
Hg1 0.5000 0.5000 0.7187  4 Ta 3.03, 4 Hg 3.10, 4 Pb 3.38
Ta1 0.0000 0.0000 0.5221  4 Hg 3.03, 4 Ta 3.10, 4 Pb 3.23
Pb1 0.5000 0.5000 0.2988  4 Pb 3.10, 4 Ta 3.23
Pb2 0.0000 0.0000 0.9603  4 Pb 3.10, 4 Hg 3.38

Density functional theory data (PBE) for a geometry-optimized TaHgPb2 structure.

Cell: 5.9921 5.9921 5.9921 Å, 137.73 137.73 61.32°
Last column: nearest neighbours and their distance in Å.
Positions (direct):
Pb1 0.0000 0.0000 0.0000  4 Ta 3.06, 4 Pb 3.36, 4 Hg 3.36
Pb2 0.2500 0.7500 0.5000  4 Hg 3.06, 4 Pb 3.36, 4 Ta 3.36
Hg1 0.7500 0.2500 0.5000  8 Pb 3.06-3.36, 4 Ta 3.36
Ta1 0.5000 0.5000 0.0000  8 Pb 3.06-3.36, 4 Hg 3.36

Density functional theory data (PBE) for a geometry-optimized Tb4HgPb structure.

Cell: 5.1710 5.1715 7.3166 Å, 89.98 89.99 90.00°
Last column: nearest neighbours and their distance in Å.
Positions (direct):
Pb1 0.5013 0.4972 0.9981  8 Tb 3.22
Tb1 0.5013 0.9975 0.7349  2 Hg 3.11, 2 Pb 3.22, 1 Tb 3.46
Tb2 0.5012 0.9970 0.2614  2 Hg 3.11, 2 Pb 3.22, 1 Tb 3.46
Tb3 0.0014 0.4974 0.7349  2 Hg 3.11, 2 Pb 3.22, 1 Tb 3.46
Tb4 0.0012 0.4972 0.2614  2 Hg 3.11, 2 Pb 3.22, 1 Tb 3.46
Hg1 0.0013 0.9973 0.4982  8 Tb 3.11

no.,total magnetization (μB per cell),formation enthalpy at 0 K (eV/atom)
1,0.00,0.3106
2,0.00,0.4762
3,0.00,0.3565
4,0.00,0.3084
5,0.00,0.6057
6,0.00,0.5278
7,1.49,0.7975
8,0.00,0.4987
9,0.00,0.5494
10,0.00,0.3615
11,0.00,0.6406
12,0.00,-0.1636